# SrVO3 PBE+U relaxed
# SG: Cmcm (63)
# theoretical density: 3.2 g cm⁻³
# total DFT energy (no corrections): -7.010 eV/atom
data_SrVO3
_cell_length_a 7.722
_cell_length_b 7.722
_cell_length_c 4.858
_cell_angle_alpha 90.00
_cell_angle_beta 90.00
_cell_angle_gamma 137.31
_space_group_name_H-M_alt 'P 1'
_space_group_IT_number 1
loop_
_space_group_symop_operation_xyz
'x,y,z'
loop_
_atom_site_label
_atom_site_type_symbol
_atom_site_fract_x
_atom_site_fract_y
_atom_site_fract_z
Sr1 Sr 0.185 0.815 0.750
Sr2 Sr 0.815 0.185 0.250
V1 V 0.409 0.591 0.750
V2 V 0.591 0.409 0.250
O1 O 0.083 0.427 0.750
O2 O 0.427 0.083 0.250
O3 O 0.500 0.500 0.000
O4 O 0.500 0.500 0.500
O5 O 0.573 0.917 0.750
O6 O 0.917 0.573 0.250